First-principles (PBE-GGA) data for an optimized crystal structure of Cs3Rb6Ag, as listed in the Alexandria database.

Geometry as CIF:
```
data_Cs3Rb6Ag
_symmetry_space_group_name_H-M 'C m c 21'
_symmetry_Int_Tables_number 36
_symmetry_space_group_name_Hall 'C 2c -2'
_cell_length_a 21.796
_cell_length_b 22.156
_cell_length_c 7.313
_cell_angle_alpha 90.00
_cell_angle_beta 90.00
_cell_angle_gamma 90.00
loop_
_atom_site_label
_atom_site_type_symbol
_atom_site_fract_x
_atom_site_fract_y
_atom_site_fract_z
Cs1 Cs 0.000 0.085 0.000
Cs2 Cs 0.162 0.411 0.499
Rb1 Rb 0.000 0.244 0.501
Rb2 Rb 0.000 0.415 0.000
Rb3 Rb 0.165 0.248 0.000
Rb4 Rb 0.170 0.086 0.500
Ag1 Ag 0.000 0.254 0.001
```

Computed properties:
Energy of formation from the pure elements, eV per atom: 0.027
Density of states at the Fermi level, states/eV/f.u.: 10.24
E, eV per atom: -1.094

---

First-principles (PBE-GGA) data for an optimized crystal structure of TlTc2IO8, as listed in the Alexandria database.

Geometry as CIF:
```
data_TlTc2IO8
_symmetry_space_group_name_H-M 'C 1 2/m 1'
_symmetry_Int_Tables_number 12
_symmetry_space_group_name_Hall '-C 2y'
_cell_length_a 13.025
_cell_length_b 5.583
_cell_length_c 7.340
_cell_angle_alpha 90.00
_cell_angle_beta 117.58
_cell_angle_gamma 90.00
loop_
_atom_site_label
_atom_site_type_symbol
_atom_site_fract_x
_atom_site_fract_y
_atom_site_fract_z
Tl1 Tl 0.000 0.000 0.000
Tc1 Tc 0.216 0.000 0.713
I1 I 0.000 0.500 0.500
O1 O 0.134 0.500 0.160
O2 O 0.159 0.258 0.773
O3 O 0.165 0.000 0.448
```

Computed properties:
Density of states at the Fermi level, states/eV/f.u.: 4.65
E, eV per atom: -6.399
ΔE_f (raw), eV per formula unit: -12.48

---

It is found that the spin magnetization values, taken in the order of the records, are 0.00 0.00 μB per formula unit.